A relaxed Sc3CdPd5 crystal. Source: Alexandria via LeMat-Bulk, functional PBE.

a = 8.0707 Å, b = 8.0707 Å, c = 5.6237 Å
α = 90.00°, β = 90.00°, γ = 120.00°
Space group P6_3/mcm (No. 193)
Symmetry-distinct sites (fractional):
Sc (0.0000, 0.3611, 0.2500) x6
Cd (0.0000, 0.0000, 0.0000) x2
Pd (0.0000, 0.3156, 0.7500) x6
Pd (0.3333, 0.6667, 0.0000) x4

DFT total energy in eV/cell: -105.96
Total magnetization in μB per formula unit: 0.00

A relaxed Nb6NiPt crystal. Source: Alexandria via LeMat-Bulk, functional PBE.

a = 4.704 Å, b = 4.704 Å, c = 12.420 Å
α = 90.00°, β = 90.00°, γ = 90.00°
Space group I4/mmm (No. 139)
Symmetry-distinct sites (fractional):
Nb (0.000, 0.000, 0.248) x4
Nb (0.000, 0.500, 0.124) x8
Ni (0.000, 0.000, 0.000) x2
Pt (0.000, 0.000, 0.500) x2

DFT total energy in eV/cell: -147.29
Total magnetization in μB per formula unit: 0.00

A relaxed YAlHg2 crystal. Source: Alexandria via LeMat-Bulk, functional PBE.

a = 4.498 Å, b = 4.498 Å, c = 4.478 Å
α = 90.00°, β = 90.00°, γ = 90.00°
Space group P4/mmm (No. 123)
Symmetry-distinct sites (fractional):
Y (0.000, 0.000, 0.000) x1
Al (0.500, 0.500, 0.000) x1
Hg (0.000, 0.500, 0.500) x2

DFT total energy in eV/cell: -12.01
Total magnetization in μB per formula unit: 0.00

A relaxed Re2MoSe crystal. Source: Alexandria via LeMat-Bulk, functional PBE.

a = 3.785 Å, b = 3.785 Å, c = 8.638 Å
α = 90.00°, β = 90.00°, γ = 90.00°
Space group I-4m2 (No. 119)
Symmetry-distinct sites (fractional):
Re (0.000, 0.000, 0.000) x2
Re (0.000, 0.500, 0.250) x2
Mo (0.000, 0.000, 0.500) x2
Se (0.000, 0.500, 0.750) x2

DFT total energy in eV/cell: -72.90
Total magnetization in μB per formula unit: 0.00
Formation energy (no corrections) in eV/f.u.: 2.8

A relaxed Pm6IrN3 crystal. Source: Alexandria via LeMat-Bulk, functional PBE.

a = 10.805 Å, b = 3.651 Å, c = 12.488 Å
α = 90.00°, β = 113.09°, γ = 90.00°
Space group P2_1/m (No. 11)
Symmetry-distinct sites (fractional):
Pm (0.023, 0.250, 0.277) x2
Pm (0.148, 0.250, 0.579) x2
Pm (0.151, 0.750, 0.105) x2
Pm (0.316, 0.750, 0.416) x2
Pm (0.348, 0.750, 0.927) x2
Pm (0.466, 0.250, 0.231) x2
Ir (0.128, 0.250, 0.918) x2
N (0.093, 0.750, 0.435) x2
N (0.259, 0.250, 0.276) x2
N (0.494, 0.250, 0.875) x2

DFT total energy in eV/cell: -142.54
Total magnetization in μB per formula unit: 0.94
Formation energy (no corrections) in eV/f.u.: -8.9

What did the first record say?
A relaxed Sc3CdPd5 crystal. Source: Alexandria via LeMat-Bulk, functional PBE.

a = 8.0707 Å, b = 8.0707 Å, c = 5.6237 Å
α = 90.00°, β = 90.00°, γ = 120.00°
Space group P6_3/mcm (No. 193)
Symmetry-distinct sites (fractional):
Sc (0.0000, 0.3611, 0.2500) x6
Cd (0.0000, 0.0000, 0.0000) x2
Pd (0.0000, 0.3156, 0.7500) x6
Pd (0.3333, 0.6667, 0.0000) x4

DFT total energy in eV/cell: -105.96
Total magnetization in μB per formula unit: 0.00

What did the third record say?
A relaxed YAlHg2 crystal. Source: Alexandria via LeMat-Bulk, functional PBE.

a = 4.498 Å, b = 4.498 Å, c = 4.478 Å
α = 90.00°, β = 90.00°, γ = 90.00°
Space group P4/mmm (No. 123)
Symmetry-distinct sites (fractional):
Y (0.000, 0.000, 0.000) x1
Al (0.500, 0.500, 0.000) x1
Hg (0.000, 0.500, 0.500) x2

DFT total energy in eV/cell: -12.01
Total magnetization in μB per formula unit: 0.00